No. 1
First-principles (GGA-PBE) data for crystalline Pr2Mg3Sn4 at its relaxed geometry, as listed in Alexandria via LeMat-Bulk.

Properties
- Size of the total moment: 0.000 Bohr magnetons per cell
- Formation energy from the elements: -480 meV/atom

Cell: 8.997 8.997 8.656 Å, 90.00 90.00 137.66°
Fractional positions:
Pr1 0.114 0.886 0.915
Pr2 0.386 0.614 0.415
Pr3 0.614 0.386 0.585
Pr4 0.886 0.114 0.085
Mg1 0.000 0.000 0.500
Mg2 0.035 0.465 0.750
Mg3 0.465 0.035 0.250
Mg4 0.500 0.500 0.000
Mg5 0.535 0.965 0.750
Mg6 0.965 0.535 0.250
Sn1 0.185 0.815 0.548
Sn2 0.205 0.295 0.750
Sn3 0.295 0.205 0.250
Sn4 0.315 0.685 0.048
Sn5 0.685 0.315 0.952
Sn6 0.705 0.795 0.750
Sn7 0.795 0.705 0.250
Sn8 0.815 0.185 0.452

No. 2
First-principles (GGA-PBE) data for crystalline DyPuOsPt at its relaxed geometry, as listed in Alexandria via LeMat-Bulk.

Properties
- Size of the total moment: 4.623 Bohr magnetons per cell
- Formation energy from the elements: -448 meV/atom

Cell: 4.872 4.872 4.872 Å, 60.00 60.00 60.00°
Fractional positions:
Dy1 0.000 0.000 0.000
Pu1 0.500 0.500 0.500
Os1 0.750 0.750 0.750
Pt1 0.250 0.250 0.250

No. 3
First-principles (GGA-PBE) data for crystalline LiCd5Ag3 at its relaxed geometry, as listed in Alexandria via LeMat-Bulk.

Properties
- Size of the total moment: 0.000 Bohr magnetons per cell
- Formation energy from the elements: 32 meV/atom

Cell: 7.224 7.224 8.698 Å, 102.14 102.14 89.00°
Fractional positions:
Li1 0.248 0.248 0.251
Li2 0.752 0.752 0.749
Cd1 0.162 0.648 0.616
Cd2 0.238 0.238 0.575
Cd3 0.252 0.252 0.925
Cd4 0.265 0.735 0.000
Cd5 0.352 0.838 0.384
Cd6 0.648 0.162 0.616
Cd7 0.735 0.265 0.000
Cd8 0.748 0.748 0.075
Cd9 0.762 0.762 0.425
Cd10 0.838 0.352 0.384
Ag1 0.000 0.000 0.000
Ag2 0.004 0.004 0.680
Ag3 0.499 0.499 0.177
Ag4 0.500 0.500 0.500
Ag5 0.501 0.501 0.823
Ag6 0.996 0.996 0.320

No. 4
First-principles (GGA-PBE) data for crystalline ZrNiH2 at its relaxed geometry, as listed in Alexandria via LeMat-Bulk.

Properties
- E: -5.391 eV/atom
- Size of the total moment: 0.000 Bohr magnetons per cell

Cell: 3.756 3.756 3.756 Å, 60.00 60.00 60.00°
Fractional positions:
Zr1 0.000 0.000 0.000
Ni1 0.500 0.500 0.500
H1 0.250 0.250 0.250
H2 0.750 0.750 0.750

No. 5
First-principles (GGA-PBE) data for crystalline VFeRh2 at its relaxed geometry, as listed in Alexandria via LeMat-Bulk.

Properties
- Size of the total moment: 2.812 Bohr magnetons per cell
- Formation energy from the elements: -147 meV/atom

Cell: 8.728 8.728 8.728 Å, 17.78 17.78 17.78°
Fractional positions:
V1 0.000 0.000 0.000
Fe1 0.166 0.166 0.166
Rh1 0.415 0.415 0.415
Rh2 0.584 0.584 0.584

No. 6
First-principles (GGA-PBE) data for crystalline Ce2NdOs at its relaxed geometry, as listed in Alexandria via LeMat-Bulk.

Properties
- Size of the total moment: 0.005 Bohr magnetons per cell
- Formation energy from the elements: -123 meV/atom

Cell: 6.203 6.203 9.433 Å, 90.00 90.00 143.95°
Fractional positions:
Ce1 0.142 0.858 0.560
Ce2 0.142 0.858 0.940
Ce3 0.858 0.142 0.060
Ce4 0.858 0.142 0.440
Nd1 0.426 0.574 0.750
Nd2 0.574 0.426 0.250
Os1 0.290 0.710 0.250
Os2 0.710 0.290 0.750

No. 7
First-principles (GGA-PBE) data for crystalline PrY2I8 at its relaxed geometry, as listed in Alexandria via LeMat-Bulk.

Properties
- E: -3.979 eV/atom
- Size of the total moment: 1.028 Bohr magnetons per cell

Cell: 10.741 10.741 7.432 Å, 95.09 95.09 49.49°
Fractional positions:
Pr1 0.000 0.000 0.000
Y1 0.144 0.144 0.412
Y2 0.856 0.856 0.588
I1 0.142 0.142 0.810
I2 0.192 0.680 0.736
I3 0.283 0.283 0.335
I4 0.320 0.808 0.264
I5 0.680 0.192 0.736
I6 0.717 0.717 0.665
I7 0.808 0.320 0.264
I8 0.858 0.858 0.190

No. 8
First-principles (GGA-PBE) data for crystalline CoSb2SeS at its relaxed geometry, as listed in Alexandria via LeMat-Bulk.

Properties
- E: -4.254 eV/atom
- Size of the total moment: 0.001 Bohr magnetons per cell

Cell: 5.103 5.103 4.325 Å, 90.00 90.00 90.00°
Fractional positions:
Co1 0.000 0.000 0.000
Sb1 0.000 0.500 0.000
Sb2 0.500 0.000 0.000
Se1 0.000 0.000 0.500
S1 0.500 0.500 0.500

No. 9
First-principles (GGA-PBE) data for crystalline AlBI2O at its relaxed geometry, as listed in Alexandria via LeMat-Bulk.

Properties
- E: -3.584 eV/atom
- Size of the total moment: 0.001 Bohr magnetons per cell

Cell: 6.560 6.560 2.865 Å, 90.00 90.00 90.00°
Fractional positions:
Al1 0.000 0.000 0.000
B1 0.500 0.500 0.500
I1 0.000 0.500 0.500
I2 0.500 0.000 0.500
O1 0.500 0.500 0.000

No. 10
First-principles (GGA-PBE) data for crystalline BaCa3Rh at its relaxed geometry, as listed in Alexandria via LeMat-Bulk.

Properties
- Size of the total moment: 0.000 Bohr magnetons per cell
- Formation energy from the elements: -220 meV/atom

Cell: 5.691 5.691 5.691 Å, 90.00 90.00 90.00°
Fractional positions:
Ba1 0.000 0.000 0.000
Ca1 0.000 0.500 0.500
Ca2 0.500 0.000 0.500
Ca3 0.500 0.500 0.000
Rh1 0.500 0.500 0.500

No. 11
First-principles (GGA-PBE) data for crystalline CeHo4Er3S8 at its relaxed geometry, as listed in Alexandria via LeMat-Bulk.

Properties
- E: -6.410 eV/atom
- Size of the total moment: 0.001 Bohr magnetons per cell

Cell: 7.786 7.786 7.786 Å, 60.01 60.01 60.01°
Fractional positions:
Ce1 0.000 0.000 0.000
Ho1 0.000 0.000 0.500
Ho2 0.000 0.500 0.000
Ho3 0.500 0.000 0.000
Ho4 0.500 0.500 0.500
Er1 0.000 0.500 0.500
Er2 0.500 0.000 0.500
Er3 0.500 0.500 0.000
S1 0.251 0.251 0.251
S2 0.254 0.254 0.745
S3 0.254 0.745 0.254
S4 0.255 0.746 0.746
S5 0.745 0.254 0.254
S6 0.746 0.255 0.746
S7 0.746 0.746 0.255
S8 0.749 0.749 0.749

No. 12
First-principles (GGA-PBE) data for crystalline Ti2FeAg at its relaxed geometry, as listed in Alexandria via LeMat-Bulk.

Properties
- Size of the total moment: 0.166 Bohr magnetons per cell
- Formation energy from the elements: -140 meV/atom

Cell: 2.909 2.909 7.182 Å, 90.00 90.00 90.00°
Fractional positions:
Ti1 0.000 0.000 0.208
Ti2 0.000 0.000 0.792
Fe1 0.500 0.500 0.000
Ag1 0.500 0.500 0.500

No. 13
First-principles (GGA-PBE) data for crystalline Nb2OsPd at its relaxed geometry, as listed in Alexandria via LeMat-Bulk.

Properties
- Size of the total moment: 0.000 Bohr magnetons per cell
- Formation energy from the elements: -189 meV/atom

Cell: 4.108 4.108 3.869 Å, 90.00 90.00 90.00°
Fractional positions:
Nb1 0.000 0.500 0.000
Nb2 0.500 0.000 0.000
Os1 0.000 0.000 0.500
Pd1 0.500 0.500 0.500

No. 14
First-principles (GGA-PBE) data for crystalline KTl2Pb2 at its relaxed geometry, as listed in Alexandria via LeMat-Bulk.

Properties
- Size of the total moment: 0.000 Bohr magnetons per cell
- Formation energy from the elements: -32 meV/atom

Cell: 14.987 14.987 14.987 Å, 162.94 158.78 27.35°
Fractional positions:
K1 0.337 0.087 0.250
K2 0.663 0.913 0.750
Tl1 0.120 0.370 0.750
Tl2 0.227 0.477 0.750
Tl3 0.773 0.523 0.250
Tl4 0.880 0.630 0.250
Pb1 0.041 0.791 0.250
Pb2 0.456 0.706 0.750
Pb3 0.544 0.294 0.250
Pb4 0.959 0.209 0.750

No. 15
First-principles (GGA-PBE) data for crystalline Cs2KAgPt at its relaxed geometry, as listed in Alexandria via LeMat-Bulk.

Properties
- Size of the total moment: 0.000 Bohr magnetons per cell
- Formation energy from the elements: 75 meV/atom

Cell: 6.626 6.626 6.141 Å, 90.00 90.00 90.00°
Fractional positions:
Cs1 0.000 0.500 0.000
Cs2 0.500 0.000 0.000
K1 0.000 0.000 0.500
Ag1 0.500 0.500 0.500
Pt1 0.000 0.000 0.000

No. 16
First-principles (GGA-PBE) data for crystalline Tb2Pm2Er at its relaxed geometry, as listed in Alexandria via LeMat-Bulk.

Properties
- Size of the total moment: 0.000 Bohr magnetons per cell
- Formation energy from the elements: 69 meV/atom

Cell: 8.644 8.644 6.796 Å, 101.21 101.21 41.58°
Fractional positions:
Tb1 0.016 0.173 0.146
Tb2 0.173 0.016 0.646
Tb3 0.827 0.984 0.354
Tb4 0.984 0.827 0.854
Pm1 0.251 0.358 0.422
Pm2 0.358 0.251 0.922
Pm3 0.642 0.749 0.078
Pm4 0.749 0.642 0.578
Er1 0.427 0.573 0.250
Er2 0.573 0.427 0.750

No. 17
First-principles (GGA-PBE) data for crystalline Na2Ge4Rh3 at its relaxed geometry, as listed in Alexandria via LeMat-Bulk.

Properties
- Size of the total moment: 0.000 Bohr magnetons per cell
- Formation energy from the elements: -242 meV/atom

Cell: 7.750 6.703 5.623 Å, 77.36 57.57 45.07°
Fractional positions:
Na1 0.121 0.121 0.879
Na2 0.879 0.879 0.121
Ge1 0.166 0.523 0.477
Ge2 0.477 0.834 0.166
Ge3 0.523 0.166 0.834
Ge4 0.834 0.477 0.523
Rh1 0.000 0.000 0.500
Rh2 0.500 0.500 0.000
Rh3 0.500 0.500 0.500

No. 18
First-principles (GGA-PBE) data for crystalline Hg2Os3 at its relaxed geometry, as listed in Alexandria via LeMat-Bulk.

Properties
- Size of the total moment: 0.009 Bohr magnetons per cell
- Formation energy from the elements: 733 meV/atom

Cell: 11.977 11.977 11.977 Å, 13.72 13.72 13.72°
Fractional positions:
Hg1 0.098 0.098 0.098
Hg2 0.902 0.902 0.902
Os1 0.305 0.305 0.305
Os2 0.500 0.500 0.500
Os3 0.695 0.695 0.695

No. 19
First-principles (GGA-PBE) data for crystalline AcErSi at its relaxed geometry, as listed in Alexandria via LeMat-Bulk.

Properties
- E: -5.016 eV/atom
- Size of the total moment: 0.000 Bohr magnetons per cell

Cell: 4.830 4.830 4.564 Å, 90.00 90.00 120.00°
Fractional positions:
Ac1 0.000 0.000 0.000
Er1 0.667 0.333 0.500
Si1 0.333 0.667 0.503

No. 20
First-principles (GGA-PBE) data for crystalline BiCBr2 at its relaxed geometry, as listed in Alexandria via LeMat-Bulk.

Properties
- E: -2.858 eV/atom
- Size of the total moment: 0.000 Bohr magnetons per cell

Cell: 11.518 11.518 11.518 Å, 17.07 17.07 17.07°
Fractional positions:
Bi1 0.000 0.000 0.000
C1 0.500 0.500 0.500
Br1 0.209 0.209 0.209
Br2 0.791 0.791 0.791

No. 21
First-principles (GGA-PBE) data for crystalline IrRu4W2 at its relaxed geometry, as listed in Alexandria via LeMat-Bulk.

Properties
- Size of the total moment: 0.000 Bohr magnetons per cell
- Formation energy from the elements: 513 meV/atom

Cell: 6.719 6.719 6.719 Å, 114.56 114.56 99.72°
Fractional positions:
Ir1 0.250 0.250 0.000
Ir2 0.750 0.750 0.000
Ru1 0.016 0.516 0.204
Ru2 0.188 0.984 0.500
Ru3 0.312 0.812 0.796
Ru4 0.484 0.688 0.500
Ru5 0.516 0.312 0.500
Ru6 0.688 0.188 0.204
Ru7 0.812 0.016 0.500
Ru8 0.984 0.484 0.796
W1 0.151 0.349 0.500
W2 0.349 0.849 0.197
W3 0.651 0.151 0.803
W4 0.849 0.651 0.500

No. 22
First-principles (GGA-PBE) data for crystalline TbNd2Tm7 at its relaxed geometry, as listed in Alexandria via LeMat-Bulk.

Properties
- Size of the total moment: 0.001 Bohr magnetons per cell
- Formation energy from the elements: 160 meV/atom

Cell: 14.667 14.667 3.498 Å, 90.00 90.00 154.68°
Fractional positions:
Tb1 0.000 0.000 0.000
Nd1 0.291 0.709 0.500
Nd2 0.709 0.291 0.500
Tm1 0.148 0.344 0.500
Tm2 0.184 0.816 0.000
Tm3 0.344 0.148 0.500
Tm4 0.500 0.500 0.500
Tm5 0.656 0.852 0.500
Tm6 0.816 0.184 0.000
Tm7 0.852 0.656 0.500

No. 23
First-principles (GGA-PBE) data for crystalline Sr2TlSiP at its relaxed geometry, as listed in Alexandria via LeMat-Bulk.

Properties
- E: -3.384 eV/atom
- Size of the total moment: 0.530 Bohr magnetons per cell

Cell: 5.771 5.771 5.182 Å, 90.00 90.00 90.00°
Fractional positions:
Sr1 0.000 0.500 0.000
Sr2 0.500 0.000 0.000
Tl1 0.000 0.000 0.500
Si1 0.500 0.500 0.500
P1 0.000 0.000 0.000

No. 24
First-principles (GGA-PBE) data for crystalline PuMnGe2Ru at its relaxed geometry, as listed in Alexandria via LeMat-Bulk.

Properties
- Size of the total moment: 7.929 Bohr magnetons per cell
- Formation energy from the elements: -383 meV/atom

Cell: 6.113 6.113 6.113 Å, 141.41 141.41 55.72°
Fractional positions:
Pu1 0.000 0.000 0.000
Mn1 0.750 0.250 0.500
Ge1 0.381 0.381 0.000
Ge2 0.619 0.619 0.000
Ru1 0.250 0.750 0.500

No. 25
First-principles (GGA-PBE) data for crystalline TmIr3 at its relaxed geometry, as listed in Alexandria via LeMat-Bulk.

Properties
- Size of the total moment: 0.000 Bohr magnetons per cell
- Formation energy from the elements: -461 meV/atom

Cell: 8.604 8.604 8.604 Å, 152.98 152.98 38.58°
Fractional positions:
Tm1 0.121 0.121 0.000
Tm2 0.879 0.879 0.000
Ir1 0.000 0.500 0.500
Ir2 0.250 0.750 0.500
Ir3 0.373 0.373 0.000
Ir4 0.500 0.000 0.500
Ir5 0.627 0.627 0.000
Ir6 0.750 0.250 0.500